(1)
Entry from the Alexandria database: a relaxed structure of KCa2LaN (PBE).

Values from the calculation:
total energy: -19.0 eV per cell
ΔE_f (raw): -0.7 eV/f.u.
total moment: 0.00 Bohr magnetons per cell

abc: 5.6153 5.6153 4.9937
angles: 90.00 90.00 90.00
Atoms (fractional coordinates):
K  0.0000  0.0000  0.0000
Ca  0.0000  0.5000  0.5000
Ca  0.5000  0.0000  0.5000
La  0.5000  0.5000  0.0000
N  0.5000  0.5000  0.5000

(2)
Entry from the Alexandria database: a relaxed structure of NaSnTe4Pb2 (PBE).

Values from the calculation:
total energy: -28.7 eV per cell
ΔE_f (raw): -3.4 eV/f.u.
total moment: 0.00 Bohr magnetons per cell

abc: 7.7730 4.5053 7.9641
angles: 90.00 108.45 90.00
Atoms (fractional coordinates):
Na  0.0000  0.0000  0.0000
Sn  0.0000  0.5000  0.5000
Te  0.2382  0.0000  0.7432
Te  0.2426  0.5000  0.2535
Te  0.7574  0.5000  0.7465
Te  0.7618  0.0000  0.2568
Pb  0.5000  0.0000  0.5000
Pb  0.5000  0.5000  0.0000

(3)
Entry from the Alexandria database: a relaxed structure of CaAg2Os (PBE).

Values from the calculation:
formation energy from the elements: 77 kJ/mol of atoms
total energy: -31.5 eV per cell
total moment: 1.74 Bohr magnetons per cell

abc: 10.3191 10.3191 10.3191
angles: 156.90 156.90 32.89
Atoms (fractional coordinates):
Ca  0.0000  0.0000  0.0000
Ca  0.7500  0.2500  0.5000
Ag  0.1556  0.6250  0.0306
Ag  0.3750  0.4056  0.5306
Ag  0.5944  0.1250  0.9694
Ag  0.8750  0.8444  0.4694
Os  0.2500  0.7500  0.5000
Os  0.5000  0.5000  0.0000